3
Lattice="2.7196 0.0000 0.0000 -1.3598 2.3552 0.0000 0.0000 0.0000 6.4877" Properties=species:S:1:pos:R:3 comment="GGA-PBEsol ZnIr2, optimized geometry" e_tot_ev_per_atom=-7.14 dos_at_fermi_per_ev_fu=2.369 pbc="T T T"
Zn 0.0000 0.0000 0.0000
Ir 0.0000 1.5702 4.3316
Ir 1.3598 0.7851 2.1561

=====

4
Lattice="2.7200 0.0000 0.0000 0.0000 4.3737 0.0000 0.0000 0.0000 4.6756" Properties=species:S:1:pos:R:3 comment="GGA-PBEsol ZnIr3, optimized geometry" e_tot_ev_per_atom=-7.77 dos_at_fermi_per_ev_fu=2.959 pbc="T T T"
Ir 1.3600 2.1869 3.9040
Ir 0.0000 0.0000 4.6689
Ir 1.3600 0.0000 2.3234
Zn 0.0000 2.1869 1.5719

=====

4
Lattice="2.8717 0.0000 0.0000 0.0000 4.2342 0.0000 0.0000 0.0000 4.4800" Properties=species:S:1:pos:R:3 comment="GGA-PBEsol Zn3Ir, optimized geometry" e_tot_ev_per_atom=-3.80 dos_at_fermi_per_ev_fu=1.458 pbc="T T T"
Zn 1.4359 0.0000 2.1859
Zn 0.0000 2.1171 1.5225
Zn 1.4359 2.1171 3.7967
Ir 0.0000 0.0000 4.4415

=====

6
Lattice="2.7275 0.0000 0.0000 -1.3637 4.9500 0.0125 0.0000 -1.7548 6.1562" Properties=species:S:1:pos:R:3 comment="GGA-PBEsol ZnIr2, optimized geometry" e_tot_ev_per_atom=-7.10 dos_at_fermi_per_ev_fu=3.400 pbc="T T T"
Ir 1.3637 3.4080 4.2663
Ir 0.0000 1.8674 6.0376
Ir 0.0000 -0.2127 1.9024
Ir 1.3637 1.3279 0.1311
Zn 0.0000 2.4103 2.2350
Zn 1.3637 0.7850 3.9337

=====

4
Lattice="2.8536 0.0000 0.0000 0.0000 3.6678 0.0000 0.0000 0.0000 5.2563" Properties=species:S:1:pos:R:3 comment="GGA-PBEsol Zn3Ir, optimized geometry" e_tot_ev_per_atom=-3.76 dos_at_fermi_per_ev_fu=1.500 pbc="T T T"
Zn 0.0000 0.0000 2.6282
Zn 1.4268 1.8339 1.2630
Zn 1.4268 1.8339 3.9933
Ir 0.0000 0.0000 0.0000

=====

6
Lattice="4.2274 0.0000 0.0000 0.0000 4.7873 0.0000 0.0000 -2.3937 4.1459" Properties=species:S:1:pos:R:3 comment="GGA-PBEsol Zn5Ir, optimized geometry" e_tot_ev_per_atom=-2.78 dos_at_fermi_per_ev_fu=2.402 pbc="T T T"
Zn 2.1137 1.1968 2.0730
Zn 2.1137 2.3937 0.0000
Zn 0.0000 2.3937 1.3820
Zn 2.1137 -1.1968 2.0730
Zn 0.0000 0.0000 2.7640
Ir 0.0000 0.0000 0.0000